No. 1
Material: NaTmMgIn
Method: DFT, PBE-GGA
State: optimized geometry

```
NaTmMgIn
1.0
-0.318 -3.424 -3.980
4.048 -3.188 -1.056
-0.383 -5.152 0.987
Tm Mg Na In
1 1 1 1
direct
0.500 0.500 0.500
0.250 0.250 0.250
0.000 0.000 0.000
0.750 0.750 0.750
```

Properties
The total magnetization is 0.00 μB per cell. As for the calculated volume: 25.7 Å³ per atom. As for the space-group type: F-43m (216). The formation energy comes out at -88 meV/atom. Its crystal system is cubic.

=====

No. 2
Material: PmY3Ho6Sc2
Method: DFT, PBE-GGA
State: optimized geometry

```
PmY3Ho6Sc2
1.0
6.065 0.002 0.007
-3.029 5.254 0.007
-1.022 -1.769 11.439
Ho Sc Y Pm
6 2 3 1
direct
0.582 0.918 0.755
0.254 0.254 0.755
0.918 0.582 0.755
0.082 0.418 0.245
0.746 0.746 0.245
0.418 0.082 0.245
0.667 0.333 0.000
0.333 0.667 0.000
0.833 0.167 0.500
0.500 0.500 0.500
0.167 0.833 0.500
0.000 0.000 0.000
```

Properties
The total magnetization is 0.00 μB per cell. As for the calculated volume: 30.4 Å³ per atom. As for the space-group type: C2/m (12). The formation energy comes out at 40 meV/atom. Its crystal system is monoclinic.

=====

No. 3
Material: AcZn2Ag5
Method: DFT, PBE-GGA
State: optimized geometry

```
AcZn2Ag5
1.0
-1.736 2.356 -2.928
-5.783 -3.029 -1.934
-5.336 3.176 2.793
Ag Zn Ac
5 2 1
direct
0.355 0.834 0.456
0.000 0.500 0.500
0.355 0.456 0.834
0.645 0.166 0.544
0.645 0.544 0.166
0.254 0.246 0.246
0.746 0.754 0.754
0.000 0.000 0.000
```

Properties
The total magnetization is 0.00 μB per cell. As for the calculated volume: 20.9 Å³ per atom. As for the space-group type: Immm (71). The formation energy comes out at -119 meV/atom. Its crystal system is orthorhombic.

=====

No. 4
Material: U2MnTc
Method: DFT, PBE-GGA
State: optimized geometry

```
U2MnTc
1.0
-2.011 -1.110 1.858
4.393 -2.300 1.032
0.076 4.298 2.651
Mn U Tc
1 2 1
direct
0.000 0.000 0.500
0.724 0.448 0.737
0.276 0.552 0.263
0.000 0.000 0.000
```

Properties
The total magnetization is 0.00 μB per cell. As for the calculated volume: 17.4 Å³ per atom. As for the space-group type: C2/m (12). For the excess energy over the best structure of this formula in the dataset, the calculation gives 0.888 eV per formula unit. The formation energy comes out at 351 meV/atom. Its crystal system is monoclinic.

=====

No. 5
Material: YZn3Au
Method: DFT, PBE-GGA
State: optimized geometry

```
YZn3Au
1.0
5.699 0.000 0.000
0.000 5.901 -2.848
0.000 0.000 5.696
Y Zn Au
2 6 2
direct
0.250 0.499 0.749
0.750 0.501 0.251
0.500 0.000 0.251
0.000 0.000 0.749
0.750 0.734 0.867
0.000 0.000 0.251
0.250 0.266 0.133
0.500 0.000 0.749
0.750 0.300 0.650
0.250 0.700 0.350
```

Properties
The total magnetization is 0.00 μB per cell. As for the calculated volume: 19.2 Å³ per atom. As for the space-group type: Cmcm (63). For the excess energy over the best structure of this formula in the dataset, the calculation gives 0.000 eV per formula unit. The formation energy comes out at -432 meV/atom. Its crystal system is orthorhombic.

=====

No. 6
Material: HfPa2NiS5
Method: DFT, PBE-GGA
State: optimized geometry

```
HfPa2NiS5
1.0
-2.439 -2.294 1.503
7.044 -2.968 2.418
-0.437 6.635 9.418
S Pa Ni Hf
10 4 2 2
direct
0.983 0.966 0.521
0.347 0.693 0.021
0.306 0.612 0.678
0.694 0.388 0.862
0.694 0.388 0.178
0.504 0.007 0.253
0.653 0.307 0.521
0.017 0.034 0.021
0.306 0.612 0.362
0.496 0.993 0.753
0.888 0.775 0.848
0.112 0.225 0.348
0.120 0.240 0.698
0.880 0.760 0.198
0.559 0.118 0.923
0.441 0.882 0.423
0.819 0.638 0.519
0.181 0.362 0.019
```

Properties
The value obtained for the raw formation energy is -1445.3 meV per atom. The total magnetization is 0.56 μB per cell. As for the calculated volume: 18.3 Å³ per atom. As for the space-group type: Cmc2_1 (36). Its crystal system is orthorhombic.